meta-GGA SCAN KMg2, single point on PBEsol structure; total DFT energy (no corrections) = -5.79 eV/atom; total moment = 0.0 μB/f.u.
1.0
4.977 0.000 0.000
0.000 4.977 0.000
-2.488 -2.488 9.395
Mg K
4 2
direct
0.669 0.169 0.338
0.419 0.419 0.838
0.581 0.581 0.162
0.831 0.331 0.662
0.000 0.000 0.000
0.250 0.750 0.500